## CaLa3Pm7 (PBE-GGA)

Data for crystalline CaLa3Pm7 at its relaxed geometry.

Lattice parameters (Å, degrees): 11.983 10.297 6.639 90.00 94.12 90.00
Space group C2/m (No. 12)
Inequivalent atoms, fractional coordinates:
Ca (0.000, 0.000, 0.000) x2
La (0.000, 0.324, 0.500) x4
La (0.000, 0.500, 0.000) x2
Pm (0.000, 0.000, 0.500) x2
Pm (0.234, 0.500, 0.706) x4
Pm (0.242, 0.172, 0.756) x8

**Energy relative to the elements**: 221 kJ/mol of formula units
**Excess energy over the best structure of this formula in the dataset**: 0 meV per atom

## Ba2SrCa7 (PBE-GGA)

Data for crystalline Ba2SrCa7 at its relaxed geometry.

Lattice parameters (Å, degrees): 12.953 12.953 12.953 90.00 90.00 90.00
Space group Fm-3m (No. 225)
Inequivalent atoms, fractional coordinates:
Ba (0.250, 0.250, 0.250) x8
Sr (0.000, 0.000, 0.000) x4
Ca (0.000, 0.000, 0.254) x24
Ca (0.000, 0.000, 0.500) x4

**Energy relative to the elements**: 498 kJ/mol of formula units
**Excess energy over the best structure of this formula in the dataset**: 425 meV per atom

## Na2Pt (PBE-GGA)

Data for crystalline Na2Pt at its relaxed geometry.

Lattice parameters (Å, degrees): 7.6015 7.6015 4.2073 90.00 90.00 120.00
Space group P-62m (No. 189)
Inequivalent atoms, fractional coordinates:
Na (0.0000, 0.2573, 0.0000) x3
Na (0.0000, 0.5876, 0.5000) x3
Pt (0.0000, 0.0000, 0.5000) x1
Pt (0.3333, 0.6667, 0.0000) x2

**Energy relative to the elements**: 1 kJ/mol of formula units

## CdSbIr2N (PBE-GGA)

Data for crystalline CdSbIr2N at its relaxed geometry.

Lattice parameters (Å, degrees): 4.138 4.138 4.849 90.00 90.00 90.00
Space group P4/mmm (No. 123)
Inequivalent atoms, fractional coordinates:
Cd (0.000, 0.000, 0.000) x1
Sb (0.500, 0.500, 0.000) x1
Ir (0.000, 0.500, 0.500) x2
N (0.500, 0.500, 0.500) x1

**DFT total energy**: -5.5197 eV/atom